No. 1
Material: LiCaLa2O
Method: DFT, PBE
State: optimized geometry

Output
- Energy above the lowest structure with this stoichiometry: 0 meV/atom
- Formation energy without anion corrections: -1.02 eV/atom
- Crystal system: tetragonal

a = 5.104 Å, b = 5.104 Å, c = 4.995 Å
α = 90.00°, β = 90.00°, γ = 90.00°
Atoms (fractional coordinates):
Ca1 0.000 0.000 0.500
Li1 0.500 0.500 0.500
O1 0.000 0.000 0.000
La1 0.000 0.500 0.000
La2 0.500 0.000 0.000

=====

No. 2
Material: MgHg2P
Method: DFT, PBE
State: optimized geometry

Output
- Formation enthalpy at 0 K: 32 kJ/mol of formula units
- Crystal system: tetragonal

a = 9.056 Å, b = 9.056 Å, c = 6.849 Å
α = 48.62°, β = 48.62°, γ = 90.00°
Atoms (fractional coordinates):
P1 0.000 0.000 0.000
P2 0.750 0.250 0.500
Mg1 0.500 0.500 0.000
Mg2 0.250 0.750 0.500
Hg1 0.708 0.125 0.250
Hg2 0.042 0.625 0.250
Hg3 0.375 0.292 0.750
Hg4 0.875 0.958 0.750

=====

No. 3
Material: PmDyZnPd
Method: DFT, PBE
State: optimized geometry

Output
- Energy above the lowest structure with this stoichiometry: 29 meV/atom
- Formation enthalpy at 0 K: -216 kJ/mol of formula units
- Crystal system: cubic

a = 5.072 Å, b = 5.072 Å, c = 5.072 Å
α = 60.00°, β = 60.00°, γ = 60.00°
Atoms (fractional coordinates):
Zn1 0.000 0.000 0.000
Pm1 0.250 0.250 0.250
Pd1 0.500 0.500 0.500
Dy1 0.750 0.750 0.750

=====

No. 4
Material: KMnGe2Se6
Method: DFT, PBE
State: optimized geometry

Output
- Formation energy without anion corrections: -0.34 eV/atom
- Crystal system: monoclinic

a = 6.508 Å, b = 9.781 Å, c = 9.781 Å
α = 90.62°, β = 77.56°, γ = 77.56°
Atoms (fractional coordinates):
K1 0.250 0.886 0.114
K2 0.750 0.114 0.886
Mn1 0.250 0.263 0.737
Mn2 0.750 0.737 0.263
Ge1 0.285 0.796 0.644
Ge2 0.215 0.356 0.204
Ge3 0.715 0.204 0.356
Ge4 0.785 0.644 0.796
Se1 0.323 0.005 0.760
Se2 0.177 0.240 0.995
Se3 0.677 0.995 0.240
Se4 0.823 0.760 0.005
Se5 0.445 0.685 0.416
Se6 0.055 0.584 0.315
Se7 0.555 0.315 0.584
Se8 0.945 0.416 0.685
Se9 0.905 0.817 0.637
Se10 0.595 0.363 0.183
Se11 0.095 0.183 0.363
Se12 0.405 0.637 0.817

=====

The DOS at the Fermi energy results, record by record, are as follows: 6.26 2.61 2.59 2.44 states/eV/f.u..